The following is a DFT calculation (GGA-PBE) of a relaxed NaGa5Pt3 crystal.

Computed properties:
calculated formation energy: -330 kJ/mol of formula units
space-group type: C2/m, No. 12
total magnetization: 0.00 μB/cell
energy above the most stable polymorph in this dataset: 97.9 meV per atom

```
NaGa5Pt3
1.0
6.1864 -4.0493 0.0000
6.1864 4.0493 0.0000
-3.8346 0.0000 7.8009
Na Ga Pt
2 10 6
Direct
0.1529 0.1529 0.3505
0.8471 0.8471 0.6495
0.0522 0.6531 0.2918
0.2121 0.2121 0.0366
0.3045 0.6955 0.0000
0.3469 0.9478 0.7082
0.4109 0.4109 0.6415
0.5891 0.5891 0.3585
0.6531 0.0522 0.2918
0.6955 0.3045 0.0000
0.7879 0.7879 0.9634
0.9478 0.3469 0.7082
0.0000 0.0000 0.0000
0.0000 0.0000 0.5000
0.3218 0.3218 0.8442
0.3819 0.3819 0.3349
0.6181 0.6181 0.6651
0.6782 0.6782 0.1558
```

The following is a DFT calculation (GGA-PBE) of a relaxed Na3Ga3Pt2 crystal.

Computed properties:
calculated formation energy: -348 kJ/mol of formula units
space-group type: Pnma, No. 62
total magnetization: 0.00 μB/cell

```
Na3Ga3Pt2
1.0
8.3120 0.0000 0.0000
0.0000 14.5471 0.0000
0.0000 0.0000 5.8106
Na Ga Pt
12 12 8
Direct
0.0478 0.1122 0.1051
0.0478 0.3878 0.1051
0.2206 0.2500 0.5933
0.2794 0.7500 0.0933
0.4522 0.6122 0.6051
0.4522 0.8878 0.6051
0.5478 0.1122 0.3949
0.5478 0.3878 0.3949
0.7206 0.2500 0.9067
0.7794 0.7500 0.4067
0.9522 0.6122 0.8949
0.9522 0.8878 0.8949
0.1239 0.7500 0.5500
0.1863 0.0420 0.6380
0.1863 0.4580 0.6380
0.3137 0.5420 0.1380
0.3137 0.9580 0.1380
0.3761 0.2500 0.0500
0.6239 0.7500 0.9500
0.6863 0.0420 0.8620
0.6863 0.4580 0.8620
0.8137 0.5420 0.3620
0.8137 0.9580 0.3620
0.8761 0.2500 0.4500
0.0999 0.5937 0.4032
0.0999 0.9063 0.4032
0.4001 0.0937 0.9032
0.4001 0.4063 0.9032
0.5999 0.5937 0.0968
0.5999 0.9063 0.0968
0.9001 0.0937 0.5968
0.9001 0.4063 0.5968
```

The following is a DFT calculation (GGA-PBE) of a relaxed Na6GaPt2 crystal.

Computed properties:
calculated formation energy: -167 kJ/mol of formula units
space-group type: R-3m, No. 166
total magnetization: 0.00 μB/cell

```
Na6GaPt2
1.0
2.5452 1.4694 9.6498
-2.5452 1.4694 9.6498
0.0000 -2.9389 9.6498
Na Ga Pt
6 1 2
Direct
0.0759 0.0759 0.0759
0.2052 0.2052 0.2052
0.3110 0.3110 0.3110
0.6890 0.6890 0.6890
0.7948 0.7948 0.7948
0.9241 0.9241 0.9241
0.5000 0.5000 0.5000
0.4168 0.4168 0.4168
0.5832 0.5832 0.5832
```